(1)
Compound: BeGa2Bi
Source: the Alexandria database
Functional: PBE
Structure: optimized geometry

Geometry as extended XYZ:
```
16
Lattice="6.974 0.000 0.000 0.000 6.974 0.000 0.000 0.000 6.974" Properties=species:S:1:pos:R:3 pbc="T T T"
Be 0.000 0.000 0.000
Be 0.000 3.487 3.487
Be 3.487 0.000 3.487
Be 3.487 3.487 0.000
Ga 1.744 1.744 1.744
Ga 1.744 1.744 5.231
Ga 1.744 5.231 1.744
Ga 1.744 5.231 5.231
Ga 5.231 1.744 1.744
Ga 5.231 1.744 5.231
Ga 5.231 5.231 1.744
Ga 5.231 5.231 5.231
Bi 0.000 0.000 3.487
Bi 0.000 3.487 0.000
Bi 3.487 0.000 0.000
Bi 3.487 3.487 3.487
```

Values from the calculation:
SG: Fm-3m
Crystal system: cubic
Calculated formation energy (meV per atom): 518
Total energy (eV per formula unit): -11.59
DOS at the Fermi energy (states/eV/cell): 7.17
Energy above the most stable polymorph in this dataset (meV/atom): 257

=====

(2)
Compound: Ce4PbSe3
Source: the Alexandria database
Functional: PBE
Structure: optimized geometry

Geometry as extended XYZ:
```
16
Lattice="7.438 0.000 0.000 0.000 8.627 0.000 -2.491 0.000 7.017" Properties=species:S:1:pos:R:3 pbc="T T T"
Ce 1.737 1.155 0.005
Ce 0.492 7.472 3.514
Ce 0.586 3.306 3.454
Ce -0.660 5.321 6.963
Ce 5.606 3.306 0.054
Ce 4.361 5.321 3.563
Ce 4.455 1.155 3.504
Ce 3.209 7.472 7.012
Pb 1.850 1.074 5.263
Pb 3.096 7.553 1.754
Se -0.623 1.080 1.754
Se -1.869 3.241 5.263
Se -0.623 5.385 1.754
Se -1.869 7.547 5.263
Se 3.096 3.241 1.754
Se 1.850 5.386 5.263
```

Values from the calculation:
SG: P2/c
Crystal system: monoclinic
Total energy (eV per formula unit): -49.33
DOS at the Fermi energy (states/eV/cell): 48.47
Formation energy from raw total energies (meV/atom): -1429

=====

(3)
Compound: RbGa3Tc
Source: the Alexandria database
Functional: PBE
Structure: optimized geometry

Geometry as extended XYZ:
```
10
Lattice="5.158 0.000 0.000 2.575 4.470 0.000 1.376 0.712 13.131" Properties=species:S:1:pos:R:3 pbc="T T T"
Rb 1.977 1.101 2.146
Rb 7.132 4.080 10.985
Ga 3.255 3.345 5.139
Ga 3.255 1.843 7.990
Ga 4.551 4.092 7.990
Ga 4.558 1.089 5.141
Ga 5.854 3.338 5.141
Ga 5.854 1.837 7.992
Tc 1.976 1.097 5.699
Tc 7.133 4.084 7.432
```

Values from the calculation:
SG: P-1
Crystal system: triclinic
Calculated formation energy (meV per atom): -71
Total energy (eV per formula unit): -20.77
DOS at the Fermi energy (states/eV/cell): 4.83
Energy above the most stable polymorph in this dataset (meV/atom): 73

=====

(4)
Compound: Zn5Cu2Ni2
Source: the Alexandria database
Functional: PBE
Structure: optimized geometry

Geometry as extended XYZ:
```
9
Lattice="4.337 -1.940 0.000 4.337 1.940 0.000 -2.729 0.000 8.033" Properties=species:S:1:pos:R:3 pbc="T T T"
Zn 0.000 0.000 0.000
Zn -1.046 0.000 6.084
Zn 1.479 0.000 5.925
Zn 4.465 0.000 2.108
Zn 6.990 0.000 1.949
Cu -0.009 0.000 3.833
Cu 5.953 0.000 4.200
Ni 2.856 0.000 0.227
Ni 3.089 0.000 7.806
```

Values from the calculation:
SG: C2/m
Crystal system: monoclinic
Calculated formation energy (meV per atom): 48
Total energy (eV per formula unit): -25.69
DOS at the Fermi energy (states/eV/cell): 4.64
Energy above the most stable polymorph in this dataset (meV/atom): 21

=====

(5)
Compound: Ba2ZrAlO6
Source: the Alexandria database
Functional: PBE
Structure: optimized geometry

Geometry as extended XYZ:
```
20
Lattice="2.948 1.702 9.694 -2.948 1.702 9.694 0.000 -3.404 9.694" Properties=species:S:1:pos:R:3 pbc="T T T"
Ba 0.000 0.000 3.850
Ba 0.000 0.000 8.225
Ba 0.000 0.000 20.856
Ba 0.000 0.000 25.231
Zr 0.000 0.000 11.772
Zr 0.000 0.000 17.309
Al 0.000 0.000 0.000
Al 0.000 0.000 14.541
O -1.323 -0.764 13.356
O 0.000 -1.798 10.796
O -1.557 0.899 10.796
O -1.557 -0.899 18.285
O 0.000 -1.528 15.725
O -1.323 0.764 15.725
O 1.323 -0.764 13.356
O 0.000 1.528 13.356
O 1.557 0.899 10.796
O 1.557 -0.899 18.285
O 0.000 1.798 18.285
O 1.323 0.764 15.725
```

Values from the calculation:
SG: R-3m
Crystal system: trigonal
Total energy (eV per formula unit): -73.93
DOS at the Fermi energy (states/eV/cell): 12.62
Formation energy from raw total energies (meV/atom): -2805

=====

(6)
Compound: AcTbSm6
Source: the Alexandria database
Functional: PBE
Structure: optimized geometry

Geometry as extended XYZ:
```
8
Lattice="5.179 0.000 0.000 0.000 5.179 0.000 0.000 0.000 10.362" Properties=species:S:1:pos:R:3 pbc="T T T"
Ac 0.000 0.000 0.000
Tb 0.000 0.000 5.181
Sm 0.000 2.589 2.668
Sm 0.000 2.589 7.694
Sm 2.589 0.000 2.668
Sm 2.589 0.000 7.694
Sm 2.589 2.589 0.000
Sm 2.589 2.589 5.181
```

Values from the calculation:
SG: P4/mmm
Crystal system: tetragonal
Calculated formation energy (meV per atom): 32
Total energy (eV per formula unit): -36.80
DOS at the Fermi energy (states/eV/cell): 13.07

=====

(7)
Compound: BeIrBr
Source: the Alexandria database
Functional: PBE
Structure: optimized geometry

Geometry as extended XYZ:
```
6
Lattice="3.060 0.000 0.000 1.528 3.824 0.000 1.053 -0.336 10.281" Properties=species:S:1:pos:R:3 pbc="T T T"
Be 0.000 0.000 0.000
Be 2.582 0.469 8.481
Ir 2.580 2.807 7.707
Ir 4.111 1.895 9.641
Br 2.579 3.257 5.353
Br 3.059 1.293 1.732
```

Values from the calculation:
SG: P1
Crystal system: triclinic
Total energy (eV per formula unit): -14.69
DOS at the Fermi energy (states/eV/cell): 1.25
Formation energy from raw total energies (meV/atom): -143
Energy above the most stable polymorph in this dataset (meV/atom): 158

=====

(8)
Compound: CeSmHo3Tm
Source: the Alexandria database
Functional: PBE
Structure: optimized geometry

Geometry as extended XYZ:
```
12
Lattice="2.509 -7.466 0.000 2.509 7.466 0.000 0.000 0.000 10.007" Properties=species:S:1:pos:R:3 pbc="T T T"
Ce 2.509 -7.463 2.502
Ce 2.509 7.463 7.505
Sm 2.509 0.000 0.000
Sm 2.509 0.000 5.004
Ho 2.509 4.995 0.001
Ho 2.509 4.995 5.003
Ho 2.509 2.500 7.505
Ho 2.509 -2.500 2.502
Ho 2.509 -4.995 10.006
Ho 2.509 -4.995 5.004
Tm 2.509 2.498 2.502
Tm 2.509 -2.498 7.505
```

Values from the calculation:
SG: Cmcm
Crystal system: orthorhombic
Calculated formation energy (meV per atom): 57
Total energy (eV per formula unit): -28.51
DOS at the Fermi energy (states/eV/cell): 22.20

=====

(9)
Compound: Li2SeO4
Source: the Alexandria database
Functional: PBE
Structure: optimized geometry

Geometry as extended XYZ:
```
42
Lattice="6.512 3.759 4.021 -6.512 3.759 4.021 0.000 -7.519 4.021" Properties=species:S:1:pos:R:3 pbc="T T T"
Li -5.090 -1.450 6.636
Li -1.289 -5.133 5.427
Li -1.863 -1.923 5.002
Li -3.801 3.683 5.427
Li -2.597 0.652 7.060
Li -0.734 2.575 5.002
Li 0.734 -2.575 7.060
Li 2.597 -0.652 5.002
Li 3.801 -3.683 6.636
Li 1.863 1.923 7.060
Li 1.289 5.133 6.636
Li 5.090 1.450 5.427
Se -2.864 0.895 3.893
Se 0.657 -2.928 3.893
Se -2.207 -2.033 8.170
Se 2.207 2.033 3.893
Se -0.657 2.928 8.170
Se 2.864 -0.895 8.170
O -2.876 -3.691 5.271
O -0.675 -2.080 3.306
O -3.968 2.099 4.256
O 0.166 -4.486 4.256
O -1.464 1.625 3.306
O -4.635 0.645 6.792
O -2.438 -0.053 5.210
O -3.802 -2.387 7.807
O -1.173 -2.138 6.853
O 1.265 -2.085 5.210
O 2.139 0.456 3.306
O -1.758 4.336 5.271
O 1.758 -4.336 6.792
O -2.139 -0.456 8.757
O -1.265 2.085 6.853
O 1.173 2.138 5.210
O 3.802 2.387 4.256
O 2.438 0.053 6.853
O 4.635 -0.645 5.271
O 1.464 -1.625 8.756
O -0.166 4.486 7.807
O 3.968 -2.099 7.807
O 0.675 2.080 8.756
O 2.876 3.691 6.792
```

Values from the calculation:
SG: R-3
Crystal system: trigonal
Total energy (eV per formula unit): -36.70
DOS at the Fermi energy (states/eV/cell): 0.00
Formation energy from raw total energies (meV/atom): -1365
Energy above the most stable polymorph in this dataset (meV/atom): 83

=====

(10)
Compound: Na7Zr6F31
Source: the Alexandria database
Functional: PBE
Structure: optimized geometry

Geometry as extended XYZ:
```
44
Lattice="6.996 4.039 3.196 -6.996 4.039 3.196 0.000 -8.078 3.196" Properties=species:S:1:pos:R:3 pbc="T T T"
Na 0.000 0.000 0.000
Na -1.057 -4.414 3.105
Na -3.294 3.122 3.105
Na -4.297 -1.328 6.456
Na 4.351 1.292 3.105
Na 3.298 -3.057 6.456
Na 0.999 4.385 6.456
Zr -2.348 -0.652 3.065
Zr 1.738 -1.708 3.065
Zr 0.610 2.359 3.065
Zr -0.576 -2.193 6.513
Zr -1.611 1.595 6.513
Zr 2.187 0.597 6.513
F -3.720 0.767 2.466
F -4.227 -1.331 3.902
F -4.766 -3.347 5.411
F -5.354 2.508 4.205
F 1.196 -3.605 2.466
F -0.377 -1.463 2.754
F 0.505 -5.891 4.205
F -1.079 1.058 2.754
F -1.827 -1.879 4.810
F -2.550 0.568 4.841
F -0.906 -4.286 5.658
F 1.456 0.405 2.754
F -2.455 -2.882 7.112
F 0.783 -2.492 4.841
F -3.259 2.927 5.658
F 3.266 -2.995 3.902
F 2.524 2.838 2.466
F -0.714 2.522 4.810
F 0.000 0.000 5.474
F -1.634 -0.459 7.201
F 0.961 4.326 3.902
F 2.541 -0.643 4.810
F 1.767 1.924 4.841
F -0.516 5.801 5.411
F 1.214 -1.186 7.201
F -1.269 3.567 7.112
F 5.282 -2.453 5.411
F 0.420 1.645 7.201
F 4.849 3.383 4.205
F 4.164 1.358 5.658
F 3.724 -0.684 7.112
```

Values from the calculation:
SG: R3
Crystal system: trigonal
Total energy (eV per formula unit): -269.74
DOS at the Fermi energy (states/eV/cell): 0.00
Formation energy from raw total energies (meV/atom): -3437

=====

(11)
Compound: Ba2TlCu2
Source: the Alexandria database
Functional: PBE
Structure: optimized geometry

Geometry as extended XYZ:
```
10
Lattice="8.461 0.000 0.000 0.000 8.461 0.000 0.000 0.000 4.322" Properties=species:S:1:pos:R:3 pbc="T T T"
Ba 1.578 2.652 0.000
Ba 2.652 6.883 0.000
Ba 5.808 1.578 0.000
Ba 6.883 5.808 0.000
Tl 0.000 0.000 2.161
Tl 4.230 4.230 2.161
Cu 0.872 5.102 2.161
Cu 3.358 0.872 2.161
Cu 5.102 7.589 2.161
Cu 7.589 3.358 2.161
```

Values from the calculation:
SG: P4/mbm
Crystal system: tetragonal
Calculated formation energy (meV per atom): -96
Total energy (eV per formula unit): -14.88
DOS at the Fermi energy (states/eV/cell): 6.43

=====

(12)
Compound: LiPm2Ho
Source: the Alexandria database
Functional: PBE
Structure: optimized geometry

Geometry as extended XYZ:
```
12
Lattice="3.547 0.000 0.000 -1.773 3.071 0.000 0.000 0.000 34.192" Properties=species:S:1:pos:R:3 pbc="T T T"
Li 0.000 0.000 0.000
Li 0.000 2.048 22.794
Li 1.773 1.024 11.397
Pm 0.000 0.000 8.579
Pm 0.000 0.000 14.211
Pm 0.000 2.048 2.814
Pm 0.000 2.048 31.373
Pm 1.773 1.024 19.976
Pm 1.773 1.024 25.609
Ho 0.000 0.000 28.488
Ho 0.000 2.048 17.090
Ho 1.773 1.024 5.693
```

Values from the calculation:
SG: R3m
Crystal system: trigonal
Calculated formation energy (meV per atom): 73
Total energy (eV per formula unit): -15.70
DOS at the Fermi energy (states/eV/cell): 9.79
Energy above the most stable polymorph in this dataset (meV/atom): 7

=====

(13)
Compound: Ac2UO6
Source: the Alexandria database
Functional: PBE
Structure: optimized geometry

Geometry as extended XYZ:
```
9
Lattice="-2.032 2.875 5.908 2.032 -2.875 5.908 2.032 2.875 -5.908" Properties=species:S:1:pos:R:3 pbc="T T T"
Ac 0.000 0.000 1.920
Ac 0.000 0.000 9.897
U 0.000 0.000 5.908
O 2.032 1.562 -1.714
O 0.000 1.632 0.000
O 2.032 1.562 1.714
O 0.000 1.313 4.194
O 0.000 4.118 0.000
O 0.000 1.313 7.623
```

Values from the calculation:
SG: Immm
Crystal system: orthorhombic
Total energy (eV per formula unit): -79.51
DOS at the Fermi energy (states/eV/cell): 0.00
Formation energy from raw total energies (meV/atom): -3361
Energy above the most stable polymorph in this dataset (meV/atom): 0

=====

(14)
Compound: Sr4NpN5
Source: the Alexandria database
Functional: PBE
Structure: optimized geometry

Geometry as extended XYZ:
```
10
Lattice="-4.104 4.104 2.635 4.104 -4.104 2.635 4.104 4.104 -2.635" Properties=species:S:1:pos:R:3 pbc="T T T"
Sr 5.789 0.863 0.000
Sr 0.863 2.420 0.000
Sr 3.242 1.684 2.635
Sr -1.684 3.242 2.635
Np 0.000 0.000 2.566
N 0.000 0.000 0.370
N 3.474 2.109 0.011
N 1.995 -0.630 2.646
N 2.109 4.735 0.011
N 0.630 1.995 2.646
```

Values from the calculation:
SG: I4
Crystal system: tetragonal
Total energy (eV per formula unit): -70.45
Formation energy from raw total energies (meV/atom): -915

=====

(15)
Compound: BF
Source: the Alexandria database
Functional: PBE
Structure: optimized geometry

Geometry as extended XYZ:
```
12
Lattice="7.242 0.000 0.000 -3.621 6.272 0.000 0.000 0.000 3.096" Properties=species:S:1:pos:R:3 pbc="T T T"
B -1.477 3.328 0.774
B 1.477 3.328 0.774
B 0.000 5.887 0.774
B 3.621 0.385 2.322
B 2.144 2.944 2.322
B 5.098 2.944 2.322
F 0.000 2.757 0.774
F -1.233 4.893 0.774
F 2.388 1.379 2.322
F 1.233 4.893 0.774
F 4.855 1.379 2.322
F 3.621 3.515 2.322
```

Values from the calculation:
SG: P6_3/mmc
Crystal system: hexagonal
Total energy (eV per formula unit): -11.06
Formation energy from raw total energies (meV/atom): -1255
Energy above the most stable polymorph in this dataset (meV/atom): 69

=====

(16)
Compound: ZnSiSe2
Source: the Alexandria database
Functional: PBE
Structure: optimized geometry

Geometry as extended XYZ:
```
12
Lattice="3.485 0.000 0.000 -1.743 3.018 0.000 0.000 0.000 29.791" Properties=species:S:1:pos:R:3 pbc="T T T"
Zn 0.000 0.000 0.000
Zn 0.000 2.012 19.861
Zn 1.743 1.006 9.930
Si 0.000 0.000 14.896
Si 0.000 2.012 4.965
Si 1.743 1.006 24.826
Se 0.000 0.000 3.524
Se 0.000 0.000 26.267
Se 0.000 2.012 16.337
Se 0.000 2.012 23.385
Se 1.743 1.006 6.406
Se 1.743 1.006 13.454
```

Values from the calculation:
SG: R-3m
Crystal system: trigonal
Total energy (eV per formula unit): -13.84
DOS at the Fermi energy (states/eV/cell): 2.18
Formation energy from raw total energies (meV/atom): -45

=====

(17)
Compound: VTe6Mo2
Source: the Alexandria database
Functional: PBE
Structure: optimized geometry

Geometry as extended XYZ:
```
9
Lattice="9.090 -1.714 0.000 9.090 1.714 0.000 -3.127 0.000 8.013" Properties=species:S:1:pos:R:3 pbc="T T T"
V 0.000 0.000 0.000
Te 1.034 0.000 4.837
Te 2.617 0.000 0.898
Te 6.464 0.000 5.972
Te 8.589 0.000 2.040
Te 12.436 0.000 7.115
Te 14.019 0.000 3.176
Mo 3.752 0.000 4.902
Mo 11.301 0.000 3.111
```

Values from the calculation:
SG: C2/m
Crystal system: monoclinic
Total energy (eV per formula unit): -51.71
DOS at the Fermi energy (states/eV/cell): 5.44
Formation energy from raw total energies (meV/atom): -231
Energy above the most stable polymorph in this dataset (meV/atom): 0

=====

(18)
Compound: TiH12Rh7
Source: the Alexandria database
Functional: PBE
Structure: optimized geometry

Geometry as extended XYZ:
```
20
Lattice="5.550 3.205 1.766 -5.550 3.205 1.766 0.000 -6.409 1.766" Properties=species:S:1:pos:R:3 pbc="T T T"
Ti 0.000 0.000 0.000
H -1.412 -0.481 1.706
H -2.770 1.312 1.977
H 0.249 -3.055 1.977
H -2.521 -1.743 3.322
H 1.122 -0.983 1.706
H 0.290 1.463 1.706
H -0.290 -1.463 3.593
H -1.122 0.983 3.593
H 2.521 1.743 1.977
H -0.249 3.055 3.322
H 2.770 -1.312 3.322
H 1.412 0.481 3.593
Rh -4.527 0.937 2.372
Rh -3.075 -3.452 2.927
Rh 1.453 -4.389 2.372
Rh 0.000 0.000 2.650
Rh -1.453 4.389 2.927
Rh 3.075 3.452 2.372
Rh 4.527 -0.937 2.927
```

Values from the calculation:
SG: R-3
Crystal system: trigonal
Total energy (eV per formula unit): -97.95
DOS at the Fermi energy (states/eV/cell): 9.22

=====

(19)
Compound: K3Sn11
Source: the Alexandria database
Functional: PBE
Structure: optimized geometry

Geometry as extended XYZ:
```
14
Lattice="-2.679 5.819 7.130 2.679 -5.819 7.130 2.679 5.819 -7.130" Properties=species:S:1:pos:R:3 pbc="T T T"
K 0.000 0.000 0.000
K 0.000 0.000 4.219
K 0.000 0.000 10.041
Sn 2.679 -1.576 2.150
Sn 2.679 -2.625 5.032
Sn 2.679 1.576 2.150
Sn 2.679 3.727 0.000
Sn 0.000 3.194 2.098
Sn 0.000 5.819 0.000
Sn 2.679 2.625 5.032
Sn 0.000 2.092 7.130
Sn 0.000 4.243 4.980
Sn 0.000 8.444 2.098
Sn 0.000 7.395 4.980
```

Values from the calculation:
SG: Immm
Crystal system: orthorhombic
Calculated formation energy (meV per atom): -119
Total energy (eV per formula unit): -48.99
DOS at the Fermi energy (states/eV/cell): 4.49